Material: PmSm3In
Method: DFT, PBE
State: optimized geometry

## Properties
E_tot	-0.3207	Ry per atom
formation energy	-33	meV/atom
total magnetic moment	0.0	μB/f.u.

Cell: 6.889 6.889 6.889 Å, 87.78 87.78 87.78°
Positions (direct):
Pm: 0.000 0.000 0.000
Pm: 0.500 0.500 0.500
Sm: 0.083 0.750 0.417
Sm: 0.250 0.583 0.917
Sm: 0.417 0.083 0.750
Sm: 0.583 0.917 0.250
Sm: 0.750 0.417 0.083
Sm: 0.917 0.250 0.583
In: 0.250 0.250 0.250
In: 0.750 0.750 0.750